Compound: MnSbTeO6
Source: Alexandria
Functional: PBE+U
Structure: optimized geometry

The total magnetization comes out at 8.60 μB per cell. The value obtained for the raw total energy is -6.18 eV per atom.

Cell and atoms, written as CIF:
```
data_MnSbTeO6
_space_group_name_H-M_alt 'P -3 1 c'
_space_group_IT_number 163
_space_group_name_Hall '-P 3 2c'
_cell_length_a 5.3721
_cell_length_b 5.3721
_cell_length_c 9.4252
_cell_angle_alpha 90.00
_cell_angle_beta 90.00
_cell_angle_gamma 120.00
loop_
_atom_site_label
_atom_site_type_symbol
_atom_site_fract_x
_atom_site_fract_y
_atom_site_fract_z
Mn1 Mn 0.0000 0.0000 0.0000
Sb1 Sb 0.3333 0.6667 0.2500
Te1 Te 0.3333 0.6667 0.7500
O1 O 0.0074 0.3576 0.1336
```